A plane-wave DFT calculation with GGA-PBE was carried out for ZrNiMo3 after structural relaxation.

abc: 4.533 4.533 4.533
angles: 90.00 90.00 90.00
Fractional positions:
Zr: 0.000 0.000 0.000
Ni: 0.500 0.500 0.500
Mo: 0.000 0.500 0.500
Mo: 0.500 0.000 0.500
Mo: 0.500 0.500 0.000

As for the symmetry: No. 221. Its formation enthalpy at 0 K is 1021.6 meV per atom. The calculation puts the energy relative to the lowest polymorph listed for this composition at 0 meV/atom. Its density of states at the Fermi level is 10.025 states/eV/cell.